Entry 1:
A relaxed Na4Er3GeTe8 crystal. Source: Alexandria, functional GGA-PBE.

Summary:
As for the total energy: -4.0916 eV/atom. As for the space group: C2/m, No. 12. The value obtained for the total magnetization is 0.00 μB/f.u. As for the formation energy from raw total energies: -1616 kJ/mol of formula units. The calculated volume is 498.6 Å³/cell.

a = 8.718 Å, b = 9.097 Å, c = 8.719 Å
α = 118.67°, β = 120.00°, γ = 90.00°
Fractional coordinates of all 16 atoms:
Na 0.500 0.000 0.000
Na 0.500 0.000 0.500
Na 0.000 0.000 0.000
Na 0.000 0.000 0.500
Er 0.500 0.500 0.000
Er 0.500 0.500 0.500
Er 0.000 0.500 0.500
Ge 0.000 0.500 0.000
Te 0.238 0.725 0.987
Te 0.238 0.725 0.477
Te 0.256 0.268 0.512
Te 0.749 0.725 0.987
Te 0.251 0.275 0.013
Te 0.744 0.732 0.488
Te 0.762 0.275 0.523
Te 0.762 0.275 0.013



Entry 2:
A relaxed Er2Nb3Ge4 crystal. Source: Alexandria, functional GGA-PBE.

Summary:
As for the total energy: -7.1681 eV/atom. As for the space group: P2_1/c, No. 14. The value obtained for the total magnetization is 0.00 μB/f.u. For the distance to the lowest polymorph of the same formula, the calculation gives 6.8 kJ/mol of formula units. The value obtained for the formation energy from the elements is -6.709 eV per formula unit. The calculated volume is 339.2 Å³/cell.

a = 7.019 Å, b = 7.160 Å, c = 7.159 Å
α = 90.00°, β = 90.00°, γ = 109.48°
Fractional coordinates of all 18 atoms:
Er 0.559 0.187 0.328
Er 0.941 0.813 0.828
Er 0.441 0.813 0.672
Er 0.059 0.187 0.172
Nb 0.000 0.500 0.500
Nb 0.500 0.500 0.000
Nb 0.746 0.255 0.824
Nb 0.754 0.745 0.324
Nb 0.254 0.745 0.176
Nb 0.246 0.255 0.676
Ge 0.856 0.084 0.536
Ge 0.644 0.916 0.036
Ge 0.144 0.916 0.464
Ge 0.356 0.084 0.964
Ge 0.866 0.490 0.131
Ge 0.634 0.510 0.631
Ge 0.134 0.510 0.869
Ge 0.366 0.490 0.369



Entry 3:
A relaxed ErNbGe2 crystal. Source: Alexandria, functional GGA-PBE.

Summary:
As for the total energy: -6.4650 eV/atom. As for the space group: R-3m, No. 166. The value obtained for the total magnetization is 0.00 μB/f.u. The value obtained for the formation energy from the elements is -1.993 eV per formula unit. The calculated volume is 83.2 Å³/cell.

a = 3.845 Å, b = 3.845 Å, c = 6.866 Å
α = 73.74°, β = 73.74°, γ = 60.00°
Fractional coordinates of all 4 atoms:
Nb 0.000 0.000 0.000
Ge 0.742 0.742 0.775
Ge 0.258 0.258 0.225
Er 0.500 0.500 0.500